(1)
Below is a relaxed structure of Pb2IO2, with properties calculated at the GGA-PBE level.

```
10
Lattice="4.0734 0.0000 0.0000 0.0000 4.0734 0.0000 0.0000 0.0000 14.0198" Properties=species:S:1:pos:R:3 pbc="T T T"
Pb 0.0000 0.0000 2.2994
Pb 0.0000 0.0000 11.7204
Pb 2.0367 2.0367 4.7105
Pb 2.0367 2.0367 9.3093
I 0.0000 0.0000 7.0099
I 2.0367 2.0367 0.0000
O 0.0000 2.0367 3.5050
O 0.0000 2.0367 10.5149
O 2.0367 0.0000 3.5050
O 2.0367 0.0000 10.5149
```

Computed properties:
Its space group is I4/mmm (139). For the uncorrected formation energy, the calculation gives -0.90 eV per atom.


(2)
Below is a relaxed structure of NaSrBi2, with properties calculated at the GGA-PBE level.

```
4
Lattice="5.1656 0.0000 0.0000 0.0000 5.1656 0.0000 0.0000 0.0000 4.8215" Properties=species:S:1:pos:R:3 pbc="T T T"
Na 0.0000 0.0000 0.0000
Sr 2.5828 2.5828 0.0000
Bi 0.0000 2.5828 2.4108
Bi 2.5828 0.0000 2.4108
```

Computed properties:
Its space group is P4/mmm (123). For the excess energy over the best structure of this formula in the dataset, the calculation gives 0 meV per atom.


Table of final energy (eV per atom), in record order: -4.672, -3.252
Table of M_tot (μB per cell), in record order: 0.00, 0.00